First-principles (PBE-GGA) data for an optimized crystal structure of Na4In3, as listed in Alexandria.

```
7
Lattice="4.6695 -2.7027 0.0000 4.6695 2.7027 0.0000 -3.2383 0.0000 7.5207" Properties=species:S:1:pos:R:3 pbc="T T T"
Na -0.0322 0.0000 1.6349
Na -0.0697 0.0000 4.9131
Na 6.1705 0.0000 2.6075
Na 6.1330 0.0000 5.8857
In 3.0917 0.0000 0.6105
In 3.0504 0.0000 3.7603
In 3.0091 0.0000 6.9101
```

Summary:
ΔH_f (0 K), eV per formula unit: -0.7
E_tot, eV for the cell shown: -14.21



First-principles (PBE-GGA) data for an optimized crystal structure of YCdPtO6, as listed in Alexandria.

```
18
Lattice="5.6378 0.0000 0.0000 -2.8189 4.8825 0.0000 0.0000 0.0000 8.8412" Properties=species:S:1:pos:R:3 pbc="T T T"
Y 0.0000 3.2550 2.2103
Y 2.8189 1.6275 6.6309
Cd 0.0000 0.0000 0.0000
Cd 0.0000 0.0000 4.4206
Pt 0.0000 3.2550 6.6309
Pt 2.8189 1.6275 2.2103
O -0.8505 1.8589 5.5377
O -1.6343 3.2164 7.7241
O 0.8505 1.8589 7.7241
O -0.7838 4.6896 5.5377
O 2.0351 0.1929 1.1171
O 1.1846 1.6660 3.3035
O 1.6343 3.2164 5.5377
O 0.7838 4.6896 7.7241
O 3.6027 0.1929 3.3035
O 1.9684 3.0235 1.1171
O 4.4532 1.6660 1.1171
O 3.6694 3.0235 3.3035
```

Summary:
ΔE_f (raw), eV per atom: -1.168
E_tot, eV for the cell shown: -107.36



Question: Among the records above, which one has the lowest E_tot?
Answer: YCdPtO6



Question: What is the E_tot in the second record?
Answer: -107.36 eV for the cell shown



Question: What is the formula in the second record?
Answer: YCdPtO6